# RbBaS2N | the Alexandria database | GGA-PBE | relaxed
data_RbBaS2N
_chemical_formula_sum 'Rb1 Ba1 S2 N1'
_symmetry_space_group_name_H-M 'P 4/m m m'
_symmetry_Int_Tables_number 123
_symmetry_space_group_name_Hall '-P 4 2'
_cell_length_a 5.8158
_cell_length_b 5.8158
_cell_length_c 5.0438
_cell_angle_alpha 90.00
_cell_angle_beta 90.00
_cell_angle_gamma 90.00
loop_
_atom_site_label
_atom_site_fract_x
_atom_site_fract_y
_atom_site_fract_z
Rb1 0.0000 0.0000 0.0000
Ba1 0.5000 0.5000 0.5000
S1 0.0000 0.5000 0.0000
N1 0.0000 0.0000 0.5000
# E_form (uncorrected), meV/atom: 479
# Density, g/cm3: 2.93
# Total energy, Ha/atom: -0.126
# Volume, Å³ per atom: 34.119



# RbSiAu3 | the Alexandria database | GGA-PBE | relaxed
data_RbSiAu3
_chemical_formula_sum 'Rb4 Si4 Au12'
_symmetry_space_group_name_H-M 'P 1 21/c 1'
_symmetry_Int_Tables_number 14
_symmetry_space_group_name_Hall '-P 2ybc'
_cell_length_a 7.9652
_cell_length_b 5.3205
_cell_length_c 13.2932
_cell_angle_alpha 90.00
_cell_angle_beta 122.61
_cell_angle_gamma 90.00
loop_
_atom_site_label
_atom_site_fract_x
_atom_site_fract_y
_atom_site_fract_z
Rb1 0.1553 0.2384 0.0341
Si1 0.3009 0.6442 0.8586
Au1 0.0581 0.0077 0.7580
Au2 0.4004 0.7034 0.2279
Au3 0.4694 0.2176 0.9286
# E_form (uncorrected), meV/atom: -151
# Density, g/cm3: 9.86
# Total energy, Ha/atom: -0.125
# Volume, Å³ per atom: 23.727